# 1
A plane-wave DFT calculation with PBE was carried out for a geometry-optimized PmThHg2 structure.

```
PmThHg2
1.0
-0.568 3.009 2.234
-2.750 1.200 -2.316
-5.192 -4.013 4.086
Hg Th Pm
2 1 1
Direct
0.000 0.000 0.743
0.000 0.000 0.257
0.500 0.500 0.000
0.500 0.500 0.500
```

Summary:
Crystal system: tetragonal
Excess energy over the best structure of this formula in the dataset: 0.00 eV per formula unit
V: 27.76 Å³ per atom
Space-group type: P4/mmm, No. 123


# 2
A plane-wave DFT calculation with PBE was carried out for a geometry-optimized Tb8PrMg6 structure.

```
Tb8PrMg6
1.0
9.166 0.000 0.000
4.583 7.938 0.000
4.583 2.646 6.477
Tb Pr Mg
8 1 6
Direct
0.549 0.216 0.353
0.784 0.118 0.647
0.118 0.451 0.647
0.666 0.666 0.002
0.334 0.334 0.998
0.882 0.549 0.353
0.216 0.882 0.353
0.451 0.784 0.647
0.000 0.000 0.000
0.384 0.048 0.856
0.952 0.288 0.144
0.288 0.616 0.144
0.712 0.384 0.856
0.048 0.712 0.856
0.616 0.952 0.144
```

Summary:
Crystal system: trigonal
DFT total energy: -3.241 eV per atom
V: 31.42 Å³ per atom
Space-group type: R-3, No. 148